# GGA-PBE BeAlTe2, optimized geometry
# - size of the total moment (μB per cell) = 0.0
# - calculated total energy (eV per atom) = -3.528
# - formation energy (no corrections) (eV/atom) = -0.09
# - N(E_F) (states/eV per atom) = 0.4142
data_BeAlTe2
_space_group_name_H-M_alt 'I -4 2 d'
_space_group_IT_number 122
_space_group_name_Hall 'I -4 2bw'
_cell_length_a 6.465
_cell_length_b 6.465
_cell_length_c 10.162
_cell_angle_alpha 90.00
_cell_angle_beta 90.00
_cell_angle_gamma 90.00
loop_
_atom_site_label
_atom_site_fract_x
_atom_site_fract_y
_atom_site_fract_z
Be1 0.000 0.000 0.000
Al1 0.000 0.000 0.500
Te1 0.205 0.250 0.125